Entry from the Alexandria database: a geometry-optimized Cs2H2F7 structure (PBE).

Summary:
DOS at the Fermi energy = 21.172 states/eV per cell
total DFT energy (no corrections) = -77.34 eV/cell

Lattice parameters (Å, degrees): 12.078 7.673 4.476 90.00 98.57 90.00
Space group C2/m (No. 12)
Inequivalent atoms, fractional coordinates:
Cs  0.000  0.249  0.000
H  0.183  0.500  0.687
F  0.000  0.000  0.500
F  0.116  0.500  0.537
F  0.244  0.125  0.997

=====

Entry from the Alexandria database: a geometry-optimized CsHF3 structure (PBE).

Summary:
distance to the lowest polymorph of the same formula = 32.26 kcal/mol of atoms
DOS at the Fermi energy = 3.972 states/eV per cell

Lattice parameters (Å, degrees): 4.941 4.941 4.941 90.00 90.00 90.00
Space group Pm-3m (No. 221)
Inequivalent atoms, fractional coordinates:
Cs  0.000  0.000  0.000
H  0.500  0.500  0.500
F  0.000  0.000  0.500

=====

Entry from the Alexandria database: a geometry-optimized CsHg2HF8 structure (PBE).

Summary:
DOS at the Fermi energy = 0.294 states/eV per cell
total DFT energy (no corrections) = -69.61 eV/cell

Lattice parameters (Å, degrees): 10.261 5.069 8.368 90.00 108.25 90.00
Space group C2/m (No. 12)
Inequivalent atoms, fractional coordinates:
Cs  0.000  0.000  0.000
Hg  0.235  0.000  0.651
H  0.000  0.500  0.500
F  0.029  0.309  0.650
F  0.201  0.500  0.093
F  0.207  0.000  0.395

=====

Entry from the Alexandria database: a geometry-optimized CsHgHF6 structure (PBE).

Summary:
total DFT energy (no corrections) = -29.67 eV/cell

Lattice parameters (Å, degrees): 5.060 5.187 6.902 98.27 90.33 118.92
Space group P1 (No. 1)
Inequivalent atoms, fractional coordinates:
Cs  0.000  0.000  0.000
Hg  0.329  0.657  0.533
H  0.741  0.482  0.295
F  0.111  0.222  0.437
F  0.293  0.582  0.810
F  0.368  0.739  0.259
F  0.544  0.087  0.646
F  0.688  0.378  0.150
F  0.816  0.633  0.479

=====

Entry from the Alexandria database: a geometry-optimized Cs6H2IF3 structure (PBE).

Summary:
DOS at the Fermi energy = 0.000 states/eV per cell
total DFT energy (no corrections) = -76.10 eV/cell

Lattice parameters (Å, degrees): 21.446 4.554 9.277 90.00 106.75 90.00
Space group C2/m (No. 12)
Inequivalent atoms, fractional coordinates:
Cs  0.031  0.000  0.217
Cs  0.166  0.500  0.059
Cs  0.185  0.500  0.593
H  0.186  0.000  0.835
I  0.000  0.500  0.500
F  0.000  0.500  0.000
F  0.172  0.000  0.313

=====

Entry from the Alexandria database: a geometry-optimized Cs4H2IF structure (PBE).

Summary:
DOS at the Fermi energy = 0.000 states/eV per cell
total DFT energy (no corrections) = -88.21 eV/cell

Lattice parameters (Å, degrees): 13.607 13.845 9.589 90.00 134.69 90.00
Space group C2/c (No. 15)
Inequivalent atoms, fractional coordinates:
Cs  0.004  0.233  0.026
Cs  0.215  0.041  0.965
H  0.000  0.000  0.000
H  0.250  0.250  0.500
I  0.000  0.500  0.000
F  0.250  0.250  0.000

=====

Entry from the Alexandria database: a geometry-optimized Cs4HI2F structure (PBE).

Summary:
DOS at the Fermi energy = 0.000 states/eV per cell
total DFT energy (no corrections) = -92.43 eV/cell

Lattice parameters (Å, degrees): 14.132 14.104 9.955 90.00 134.70 90.00
Space group C2/c (No. 15)
Inequivalent atoms, fractional coordinates:
Cs  0.000  0.228  0.031
Cs  0.212  0.015  0.463
H  0.250  0.250  0.500
I  0.000  0.500  0.000
I  0.250  0.250  0.000
F  0.000  0.000  0.000

=====

Entry from the Alexandria database: a geometry-optimized Cs2HI6F structure (PBE).

Summary:
DOS at the Fermi energy = 21.897 states/eV per cell
total DFT energy (no corrections) = -41.00 eV/cell

Lattice parameters (Å, degrees): 8.209 8.209 11.929 90.00 90.00 90.00
Space group I4/mmm (No. 139)
Inequivalent atoms, fractional coordinates:
Cs  0.000  0.500  0.250
H  0.000  0.000  0.000
I  0.000  0.000  0.306
I  0.208  0.208  0.000
F  0.000  0.000  0.500